Entry 1:
Computed, not measured: an optimized crystal structure of CaPm5Sm3 at the PBE-GGA level of DFT.

Structure (POSCAR):
```
CaPm5Sm3
1.0
8.160 -3.460 0.000
8.160 3.460 0.000
-3.616 0.000 11.265
Ca Pm Sm
2 10 6
Direct
0.224 0.776 0.750
0.776 0.224 0.250
0.056 0.301 0.872
0.301 0.056 0.372
0.314 0.686 0.250
0.387 0.397 0.457
0.397 0.387 0.957
0.603 0.613 0.043
0.613 0.603 0.543
0.686 0.314 0.750
0.699 0.944 0.628
0.944 0.699 0.128
0.000 0.000 0.000
0.000 0.000 0.500
0.142 0.373 0.638
0.373 0.142 0.138
0.627 0.858 0.862
0.858 0.627 0.362
```

Results
- DFT formation energy (kJ per mole of atoms) = 17.1
- N(E_F) (states/eV/atom) = 1.345
- E_tot (eV/atom) = -4.257

---

Entry 2:
Computed, not measured: an optimized crystal structure of LaCo6Sn12 at the PBE-GGA level of DFT.

Structure (POSCAR):
```
LaCo6Sn12
1.0
6.159 3.556 2.985
-6.159 3.556 2.985
0.000 -7.112 2.985
La Co Sn
1 6 12
Direct
0.000 0.000 0.000
0.274 0.274 0.697
0.274 0.697 0.274
0.303 0.726 0.726
0.697 0.274 0.274
0.726 0.303 0.726
0.726 0.726 0.303
0.122 0.500 0.878
0.122 0.878 0.500
0.154 0.413 0.413
0.413 0.154 0.413
0.413 0.413 0.154
0.500 0.122 0.878
0.500 0.878 0.122
0.587 0.587 0.846
0.587 0.846 0.587
0.846 0.587 0.587
0.878 0.122 0.500
0.878 0.500 0.122
```

Results
- DFT formation energy (kJ per mole of atoms) = 1.0
- N(E_F) (states/eV/atom) = 0.936
- E_tot (eV/atom) = -5.021

---

Entry 3:
Computed, not measured: an optimized crystal structure of MgHgGe at the PBE-GGA level of DFT.

Structure (POSCAR):
```
MgHgGe
1.0
4.514 0.000 0.000
0.000 3.854 0.000
-1.053 0.000 7.665
Mg Hg Ge
2 2 2
Direct
0.008 0.000 0.180
0.992 0.500 0.820
0.260 0.001 0.550
0.740 0.501 0.450
0.453 0.500 0.106
0.547 0.000 0.894
```

Results
- DFT formation energy (kJ per mole of atoms) = 2.1
- N(E_F) (states/eV/atom) = 0.282
- E_tot (eV/atom) = -2.150

---

Entry 4:
Computed, not measured: an optimized crystal structure of La2AlAs at the PBE-GGA level of DFT.

Structure (POSCAR):
```
La2AlAs
1.0
-2.477 2.477 4.286
2.477 -2.477 4.286
2.477 2.477 -4.286
La Al As
2 1 1
Direct
0.250 0.750 0.500
0.750 0.250 0.500
0.000 0.000 0.000
0.500 0.500 0.000
```

Results
- DFT formation energy (kJ per mole of atoms) = -63.9
- N(E_F) (states/eV/atom) = 0.829
- E_tot (eV/atom) = -5.224

---

Entry 5:
Computed, not measured: an optimized crystal structure of YHg2Rh at the PBE-GGA level of DFT.

Structure (POSCAR):
```
YHg2Rh
1.0
-2.136 2.142 4.522
2.136 -2.142 4.522
2.136 2.142 -4.522
Y Hg Rh
1 2 1
Direct
0.000 0.000 0.000
0.250 0.750 0.500
0.750 0.250 0.500
0.500 0.500 0.000
```

Results
- DFT formation energy (kJ per mole of atoms) = -39.0
- N(E_F) (states/eV/atom) = 0.431
- E_tot (eV/atom) = -4.009

---

Entry 6:
Computed, not measured: an optimized crystal structure of Cu4SiS5 at the PBE-GGA level of DFT.

Structure (POSCAR):
```
Cu4SiS5
1.0
-3.751 3.751 2.907
3.751 -3.751 2.907
3.751 3.751 -2.907
Cu Si S
4 1 5
Direct
0.146 0.257 0.403
0.257 0.854 0.112
0.743 0.146 0.888
0.854 0.743 0.597
0.468 0.468 0.000
0.101 0.444 0.775
0.326 0.101 0.657
0.444 0.669 0.343
0.669 0.326 0.225
0.851 0.851 0.000
```

Results
- N(E_F) (states/eV/atom) = 0.344
- formation energy (no corrections) (eV per atom) = -0.221
- E_tot (eV/atom) = -4.466

---

Entry 7:
Computed, not measured: an optimized crystal structure of TiAgPd4 at the PBE-GGA level of DFT.

Structure (POSCAR):
```
TiAgPd4
1.0
6.956 0.000 0.000
0.000 4.942 0.000
-0.729 0.000 5.528
Ti Ag Pd
2 2 8
Direct
0.000 0.116 0.250
0.000 0.884 0.750
0.500 0.408 0.250
0.500 0.592 0.750
0.158 0.395 0.919
0.158 0.605 0.419
0.318 0.089 0.585
0.318 0.911 0.085
0.682 0.089 0.915
0.682 0.911 0.415
0.842 0.395 0.581
0.842 0.605 0.081
```

Results
- DFT formation energy (kJ per mole of atoms) = -33.4
- N(E_F) (states/eV/atom) = 0.562
- E_tot (eV/atom) = -5.600

---

Entry 8:
Computed, not measured: an optimized crystal structure of KBeZn2 at the PBE-GGA level of DFT.

Structure (POSCAR):
```
KBeZn2
1.0
-2.694 2.694 7.275
2.694 -2.694 7.275
2.694 2.694 -7.275
K Be Zn
2 2 4
Direct
0.375 0.625 0.750
0.625 0.375 0.250
0.125 0.875 0.250
0.875 0.125 0.750
0.000 0.000 0.000
0.000 0.000 0.500
0.000 0.500 0.000
0.500 0.000 0.500
```

Results
- DFT formation energy (kJ per mole of atoms) = 33.0
- N(E_F) (states/eV/atom) = 0.613
- E_tot (eV/atom) = -1.500

---

Entry 9:
Computed, not measured: an optimized crystal structure of TaCrOs3 at the PBE-GGA level of DFT.

Structure (POSCAR):
```
TaCrOs3
1.0
4.697 0.000 0.000
0.000 4.697 0.000
0.000 0.000 4.697
Ta Cr Os
1 1 3
Direct
0.000 0.000 0.000
0.500 0.500 0.500
0.000 0.000 0.500
0.000 0.500 0.000
0.500 0.000 0.000
```

Results
- DFT formation energy (kJ per mole of atoms) = 247.0
- N(E_F) (states/eV/atom) = 1.954
- E_tot (eV/atom) = -8.473

---

Entry 10:
Computed, not measured: an optimized crystal structure of MnFeHgAs2 at the PBE-GGA level of DFT.

Structure (POSCAR):
```
MnFeHgAs2
1.0
4.474 0.000 0.000
0.000 4.474 0.000
0.000 0.000 4.996
Mn Fe Hg As
1 1 1 2
Direct
0.000 0.000 0.000
0.000 0.000 0.500
0.500 0.500 0.000
0.000 0.500 0.500
0.500 0.000 0.500
```

Results
- DFT formation energy (kJ per mole of atoms) = 37.9
- N(E_F) (states/eV/atom) = 0.752
- E_tot (eV/atom) = -5.054

---

Entry 11:
Computed, not measured: an optimized crystal structure of Tm2B6Ir9 at the PBE-GGA level of DFT.

Structure (POSCAR):
```
Tm2B6Ir9
1.0
5.635 0.000 0.000
-2.818 4.880 0.000
0.000 0.000 8.647
Tm B Ir
2 6 9
Direct
0.000 0.000 0.202
0.000 0.000 0.798
0.333 0.667 0.167
0.333 0.667 0.500
0.333 0.667 0.833
0.667 0.333 0.167
0.667 0.333 0.500
0.667 0.333 0.833
0.000 0.500 0.000
0.000 0.500 0.335
0.000 0.500 0.665
0.500 0.000 0.000
0.500 0.000 0.335
0.500 0.000 0.665
0.500 0.500 0.000
0.500 0.500 0.335
0.500 0.500 0.665
```

Results
- DFT formation energy (kJ per mole of atoms) = -54.8
- N(E_F) (states/eV/atom) = 0.195
- E_tot (eV/atom) = -8.142

---

Entry 12:
Computed, not measured: an optimized crystal structure of CsBi3Pd at the PBE-GGA level of DFT.

Structure (POSCAR):
```
CsBi3Pd
1.0
6.243 0.000 0.000
0.000 6.243 0.000
0.000 0.000 6.243
Cs Bi Pd
1 3 1
Direct
0.000 0.000 0.000
0.000 0.000 0.500
0.000 0.500 0.000
0.500 0.000 0.000
0.500 0.500 0.500
```

Results
- DFT formation energy (kJ per mole of atoms) = 166.0
- N(E_F) (states/eV/atom) = 2.078
- E_tot (eV/atom) = -1.818